[1]
Entry from Alexandria: InFeSe2 at its PBEsol-relaxed geometry (SCAN).

Properties
Its uncorrected formation energy is -0.070 eV/atom. As for the total moment: 0.70 μB/atom.

CIF file:
```
data_InFeSe2
_chemical_formula_sum 'In2 Fe2 Se4'
_cell_length_a 3.550
_cell_length_b 3.718
_cell_length_c 12.656
_cell_angle_alpha 90.00
_cell_angle_beta 90.00
_cell_angle_gamma 90.00
_symmetry_space_group_name_H-M 'A m m 2'
_symmetry_Int_Tables_number 38
loop_
_symmetry_equiv_pos_as_xyz
'x,y,z'
'-x,-y,z'
'-x,y,z'
'x,-y,z'
'x,y+1/2,z+1/2'
'-x,-y+1/2,z+1/2'
'-x,y+1/2,z+1/2'
'x,-y+1/2,z+1/2'
loop_
_atom_site_label
_atom_site_fract_x
_atom_site_fract_y
_atom_site_fract_z
In1 0.000 0.000 0.000
Fe1 0.500 0.000 0.581
Se1 0.000 0.000 0.696
Se2 0.500 0.000 0.394
```

***

[2]
Entry from Alexandria: In2FeSe at its PBEsol-relaxed geometry (SCAN).

Properties
Its uncorrected formation energy is 0.293 eV/atom. As for the total moment: 0.65 μB/atom.

CIF file:
```
data_In2FeSe
_chemical_formula_sum 'In2 Fe1 Se1'
_cell_length_a 3.047
_cell_length_b 3.047
_cell_length_c 8.209
_cell_angle_alpha 90.00
_cell_angle_beta 90.00
_cell_angle_gamma 90.00
_symmetry_space_group_name_H-M 'P 4/m m m'
_symmetry_Int_Tables_number 123
_symmetry_space_group_name_Hall '-P 4 2'
loop_
_atom_site_label
_atom_site_fract_x
_atom_site_fract_y
_atom_site_fract_z
In1 0.000 0.000 0.208
Fe1 0.500 0.500 0.000
Se1 0.500 0.500 0.500
```

***

[3]
Entry from Alexandria: In2FeSe at its PBEsol-relaxed geometry (SCAN).

Properties
Its uncorrected formation energy is 0.312 eV/atom. As for the total moment: 0.79 μB/atom.

CIF file:
```
data_In2FeSe
_chemical_formula_sum 'In4 Fe2 Se2'
_cell_length_a 4.041
_cell_length_b 4.041
_cell_length_c 9.963
_cell_angle_alpha 90.00
_cell_angle_beta 90.00
_cell_angle_gamma 90.00
_symmetry_space_group_name_H-M 'I 4/m m m'
_symmetry_Int_Tables_number 139
_symmetry_space_group_name_Hall '-I 4 2'
loop_
_atom_site_label
_atom_site_fract_x
_atom_site_fract_y
_atom_site_fract_z
In1 0.000 0.500 0.250
Fe1 0.000 0.000 0.000
Se1 0.000 0.000 0.500
```

***

[4]
Entry from Alexandria: InFeSi4 at its PBEsol-relaxed geometry (SCAN).

Properties
Its uncorrected formation energy is 0.683 eV/atom. As for the total moment: 0.55 μB/atom.

CIF file:
```
data_InFeSi4
_chemical_formula_sum 'In4 Fe4 Si16'
_cell_length_a 7.193
_cell_length_b 7.193
_cell_length_c 7.193
_cell_angle_alpha 90.00
_cell_angle_beta 90.00
_cell_angle_gamma 90.00
_symmetry_space_group_name_H-M 'F -4 3 m'
_symmetry_Int_Tables_number 216
_symmetry_space_group_name_Hall 'F -4 2 3'
loop_
_atom_site_label
_atom_site_fract_x
_atom_site_fract_y
_atom_site_fract_z
In1 0.000 0.000 0.000
Fe1 0.250 0.250 0.250
Si1 0.124 0.124 0.624
```